No. 1
# In2Ag2Se3S (GGA-PBE, optimized geometry)
data_In2Ag2Se3S
_symmetry_space_group_name_H-M 'C 1 2 1'
_symmetry_Int_Tables_number 5
_symmetry_space_group_name_Hall 'C 2y'
_cell_length_a 13.341
_cell_length_b 6.149
_cell_length_c 6.113
_cell_angle_alpha 90.00
_cell_angle_beta 116.69
_cell_angle_gamma 90.00
loop_
_atom_site_label
_atom_site_fract_x
_atom_site_fract_y
_atom_site_fract_z
In1 0.124 0.000 0.378
Ag1 0.119 0.483 0.857
Se1 0.000 0.752 0.000
Se2 0.250 0.247 0.251
S1 0.000 0.231 0.500
# Final energy in eV per atom: -3.6421
# V in Å³/cell: 448


No. 2
# KZrAuS3 (GGA-PBE, optimized geometry)
data_KZrAuS3
_symmetry_space_group_name_H-M 'P n m a'
_symmetry_Int_Tables_number 62
_symmetry_space_group_name_Hall '-P 2ac 2n'
_cell_length_a 11.850
_cell_length_b 4.004
_cell_length_c 12.047
_cell_angle_alpha 90.00
_cell_angle_beta 90.00
_cell_angle_gamma 90.00
loop_
_atom_site_label
_atom_site_fract_x
_atom_site_fract_y
_atom_site_fract_z
K1 0.162 0.250 0.028
Zr1 0.041 0.250 0.346
Au1 0.213 0.750 0.252
S1 0.018 0.750 0.192
S2 0.078 0.250 0.568
S3 0.244 0.750 0.855
# Spin magnetization in μB/cell: 0.0
# Final energy in eV per atom: -5.1812
# V in Å³/cell: 572


No. 3
# Li2Cd2SnGeIr2 (GGA-PBE, optimized geometry)
data_Li2Cd2SnGeIr2
_symmetry_space_group_name_H-M 'P -4 m 2'
_symmetry_Int_Tables_number 115
_symmetry_space_group_name_Hall 'P -4 -2'
_cell_length_a 4.500
_cell_length_b 4.500
_cell_length_c 6.512
_cell_angle_alpha 90.00
_cell_angle_beta 90.00
_cell_angle_gamma 90.00
loop_
_atom_site_label
_atom_site_fract_x
_atom_site_fract_y
_atom_site_fract_z
Li1 0.000 0.500 0.231
Cd1 0.000 0.000 0.000
Cd2 0.500 0.500 0.500
Sn1 0.000 0.000 0.500
Ge1 0.500 0.500 0.000
Ir1 0.000 0.500 0.765
# Spin magnetization in μB/cell: 0.0
# Final energy in eV per atom: -4.2213
# V in Å³/cell: 132


No. 4
# HoTlCdO3 (GGA-PBE, optimized geometry)
data_HoTlCdO3
_symmetry_space_group_name_H-M 'C m c m'
_symmetry_Int_Tables_number 63
_symmetry_space_group_name_Hall '-C 2c 2'
_cell_length_a 3.441
_cell_length_b 14.778
_cell_length_c 8.265
_cell_angle_alpha 90.00
_cell_angle_beta 90.00
_cell_angle_gamma 90.00
loop_
_atom_site_label
_atom_site_fract_x
_atom_site_fract_y
_atom_site_fract_z
Ho1 0.000 0.000 0.000
Tl1 0.000 0.328 0.250
Cd1 0.000 0.352 0.750
O1 0.000 0.043 0.750
O2 0.000 0.141 0.071
# Spin magnetization in μB/cell: 0.2
# Final energy in eV per atom: -5.1593
# V in Å³/cell: 420


No. 5
# LiScPd2 (GGA-PBE, optimized geometry)
data_LiScPd2
_symmetry_space_group_name_H-M 'P 4/m m m'
_symmetry_Int_Tables_number 123
_symmetry_space_group_name_Hall '-P 4 2'
_cell_length_a 4.199
_cell_length_b 4.199
_cell_length_c 3.581
_cell_angle_alpha 90.00
_cell_angle_beta 90.00
_cell_angle_gamma 90.00
loop_
_atom_site_label
_atom_site_fract_x
_atom_site_fract_y
_atom_site_fract_z
Li1 0.000 0.000 0.000
Sc1 0.500 0.500 0.000
Pd1 0.000 0.500 0.500
# Energy above the lowest structure with this stoichiometry in meV per atom: 25.3
# Spin magnetization in μB/cell: 0.0
# V in Å³/cell: 63


No. 6
# LiSb5Au3 (GGA-PBE, optimized geometry)
data_LiSb5Au3
_symmetry_space_group_name_H-M 'P 6/m m m'
_symmetry_Int_Tables_number 191
_symmetry_space_group_name_Hall '-P 6 2'
_cell_length_a 5.6011
_cell_length_b 5.6011
_cell_length_c 8.9536
_cell_angle_alpha 90.00
_cell_angle_beta 90.00
_cell_angle_gamma 120.00
loop_
_atom_site_label
_atom_site_fract_x
_atom_site_fract_y
_atom_site_fract_z
Li1 0.0000 0.0000 0.0000
Sb1 0.0000 0.0000 0.5000
Sb2 0.3333 0.6667 0.1682
Au1 0.0000 0.5000 0.5000
# Final energy in eV per atom: -3.4622
# V in Å³/cell: 243


No. 7
# DyIn2 (GGA-PBE, optimized geometry)
data_DyIn2
_symmetry_space_group_name_H-M 'F m -3 m'
_symmetry_Int_Tables_number 225
_symmetry_space_group_name_Hall '-F 4 2 3'
_cell_length_a 7.133
_cell_length_b 7.133
_cell_length_c 7.133
_cell_angle_alpha 90.00
_cell_angle_beta 90.00
_cell_angle_gamma 90.00
loop_
_atom_site_label
_atom_site_fract_x
_atom_site_fract_y
_atom_site_fract_z
Dy1 0.000 0.000 0.000
In1 0.250 0.250 0.250
# Spin magnetization in μB/cell: 0.0
# Final energy in eV per atom: -3.4035
# V in Å³/cell: 363


No. 8
# TcGeAsO (GGA-PBE, optimized geometry)
data_TcGeAsO
_symmetry_space_group_name_H-M 'P 4/n m m'
_symmetry_Int_Tables_number 129
_cell_length_a 4.081
_cell_length_b 4.081
_cell_length_c 9.148
_cell_angle_alpha 90.00
_cell_angle_beta 90.00
_cell_angle_gamma 90.00
loop_
_symmetry_equiv_pos_as_xyz
'x,y,z'
'-x,-y,-z'
'-y+1/2,x,z'
'y+1/2,-x,-z'
'-x+1/2,-y+1/2,z'
'x+1/2,y+1/2,-z'
'y,-x+1/2,z'
'-y,x+1/2,-z'
'x+1/2,-y,-z'
'-x+1/2,y,z'
'-y,-x,-z'
'y,x,z'
'-x,y+1/2,-z'
'x,-y+1/2,z'
'y+1/2,x+1/2,-z'
'-y+1/2,-x+1/2,z'
loop_
_atom_site_label
_atom_site_fract_x
_atom_site_fract_y
_atom_site_fract_z
Tc1 0.250 0.250 0.043
Ge1 0.250 0.750 0.500
As1 0.250 0.250 0.293
O1 0.250 0.750 0.000
# Energy above the lowest structure with this stoichiometry in meV per atom: 409.9
# Spin magnetization in μB/cell: 0.0
# V in Å³/cell: 152